(1)
# SrPtSO, relaxed, DFT GGA-PBE
data_SrPtSO
_chemical_formula_sum 'Sr2 Pt2 S2 O2'
_space_group_name_H-M_alt 'P 4/n m m'
_space_group_IT_number 129
_cell_length_a 4.393
_cell_length_b 4.393
_cell_length_c 8.057
_cell_angle_alpha 90.00
_cell_angle_beta 90.00
_cell_angle_gamma 90.00
loop_
_space_group_symop_operation_xyz
'x,y,z'
'-x,-y,-z'
'-y+1/2,x,z'
'y+1/2,-x,-z'
'-x+1/2,-y+1/2,z'
'x+1/2,y+1/2,-z'
'y,-x+1/2,z'
'-y,x+1/2,-z'
'x+1/2,-y,-z'
'-x+1/2,y,z'
'-y,-x,-z'
'y,x,z'
'-x,y+1/2,-z'
'x,-y+1/2,z'
'y+1/2,x+1/2,-z'
'-y+1/2,-x+1/2,z'
loop_
_atom_site_label
_atom_site_fract_x
_atom_site_fract_y
_atom_site_fract_z
Sr1 0.250 0.250 0.163
Pt1 0.250 0.250 0.606
S1 0.250 0.750 0.500
O1 0.250 0.250 0.882
# Spin magnetization in μB/f.u.: 0.00
# Energy above the lowest structure with this stoichiometry in eV per atom: 0.210
# E_tot in eV/atom: -5.3164

***

(2)
# SrPtSO, relaxed, DFT GGA-PBE
data_SrPtSO
_chemical_formula_sum 'Sr4 Pt4 S4 O4'
_space_group_name_H-M_alt 'P 21 21 21'
_space_group_IT_number 19
_space_group_name_Hall 'P 2ac 2ab'
_cell_length_a 5.526
_cell_length_b 6.639
_cell_length_c 9.229
_cell_angle_alpha 90.00
_cell_angle_beta 90.00
_cell_angle_gamma 90.00
loop_
_atom_site_label
_atom_site_fract_x
_atom_site_fract_y
_atom_site_fract_z
Sr1 0.178 0.155 0.359
Pt1 0.065 0.243 0.017
S1 0.170 0.548 0.630
O1 0.228 0.307 0.598
# Spin magnetization in μB/f.u.: 0.00
# Energy above the lowest structure with this stoichiometry in eV per atom: 0.068
# E_tot in eV/atom: -5.4588

***

(3)
# SrPtSO, relaxed, DFT GGA-PBE
data_SrPtSO
_chemical_formula_sum 'Sr2 Pt2 S2 O2'
_space_group_name_H-M_alt 'P 4/n m m'
_space_group_IT_number 129
_cell_length_a 4.647
_cell_length_b 4.647
_cell_length_c 7.892
_cell_angle_alpha 90.00
_cell_angle_beta 90.00
_cell_angle_gamma 90.00
loop_
_space_group_symop_operation_xyz
'x,y,z'
'-x,-y,-z'
'-y+1/2,x,z'
'y+1/2,-x,-z'
'-x+1/2,-y+1/2,z'
'x+1/2,y+1/2,-z'
'y,-x+1/2,z'
'-y,x+1/2,-z'
'x+1/2,-y,-z'
'-x+1/2,y,z'
'-y,-x,-z'
'y,x,z'
'-x,y+1/2,-z'
'x,-y+1/2,z'
'y+1/2,x+1/2,-z'
'-y+1/2,-x+1/2,z'
loop_
_atom_site_label
_atom_site_fract_x
_atom_site_fract_y
_atom_site_fract_z
Sr1 0.250 0.750 0.000
Pt1 0.250 0.250 0.241
S1 0.250 0.250 0.721
O1 0.250 0.250 0.529
# Spin magnetization in μB/f.u.: 0.00
# Energy above the lowest structure with this stoichiometry in eV per atom: 1.116
# E_tot in eV/atom: -4.4108

***

(4)
# Sr2PtSO6, relaxed, DFT GGA-PBE
data_Sr2PtSO6
_chemical_formula_sum 'Sr4 Pt2 S2 O12'
_space_group_name_H-M_alt 'I 4/m'
_space_group_IT_number 87
_space_group_name_Hall '-I 4'
_cell_length_a 5.121
_cell_length_b 5.121
_cell_length_c 9.009
_cell_angle_alpha 90.00
_cell_angle_beta 90.00
_cell_angle_gamma 90.00
loop_
_atom_site_label
_atom_site_fract_x
_atom_site_fract_y
_atom_site_fract_z
Sr1 0.000 0.500 0.250
Pt1 0.000 0.000 0.000
S1 0.000 0.000 0.500
O1 0.000 0.000 0.315
O2 0.152 0.301 0.500
# Spin magnetization in μB/f.u.: 0.00
# Energy above the lowest structure with this stoichiometry in eV per atom: 0.095
# E_tot in eV/atom: -5.8291

***

(5)
# SrPtSO, relaxed, DFT GGA-PBE
data_SrPtSO
_chemical_formula_sum 'Sr4 Pt4 S4 O4'
_space_group_name_H-M_alt 'P c a 21'
_space_group_IT_number 29
_space_group_name_Hall 'P 2c -2ac'
_cell_length_a 7.076
_cell_length_b 7.428
_cell_length_c 5.896
_cell_angle_alpha 90.00
_cell_angle_beta 90.00
_cell_angle_gamma 90.00
loop_
_atom_site_label
_atom_site_fract_x
_atom_site_fract_y
_atom_site_fract_z
Sr1 0.082 0.169 0.000
Pt1 0.104 0.690 0.012
S1 0.165 0.525 0.689
O1 0.084 0.109 0.578
# Spin magnetization in μB/f.u.: 0.00
# Energy above the lowest structure with this stoichiometry in eV per atom: 0.054
# E_tot in eV/atom: -5.4725

***

(6)
# SrPtSO, relaxed, DFT GGA-PBE
data_SrPtSO
_chemical_formula_sum 'Sr2 Pt2 S2 O2'
_space_group_name_H-M_alt 'P 4/n m m'
_space_group_IT_number 129
_cell_length_a 3.887
_cell_length_b 3.887
_cell_length_c 9.793
_cell_angle_alpha 90.00
_cell_angle_beta 90.00
_cell_angle_gamma 90.00
loop_
_space_group_symop_operation_xyz
'x,y,z'
'-x,-y,-z'
'-y+1/2,x,z'
'y+1/2,-x,-z'
'-x+1/2,-y+1/2,z'
'x+1/2,y+1/2,-z'
'y,-x+1/2,z'
'-y,x+1/2,-z'
'x+1/2,-y,-z'
'-x+1/2,y,z'
'-y,-x,-z'
'y,x,z'
'-x,y+1/2,-z'
'x,-y+1/2,z'
'y+1/2,x+1/2,-z'
'-y+1/2,-x+1/2,z'
loop_
_atom_site_label
_atom_site_fract_x
_atom_site_fract_y
_atom_site_fract_z
Sr1 0.250 0.250 0.138
Pt1 0.250 0.750 0.500
S1 0.250 0.250 0.656
O1 0.250 0.250 0.897
# Spin magnetization in μB/f.u.: 0.14
# Energy above the lowest structure with this stoichiometry in eV per atom: 0.255
# E_tot in eV/atom: -5.2716

***

(7)
# SrPtSO, relaxed, DFT GGA-PBE
data_SrPtSO
_chemical_formula_sum 'Sr4 Pt4 S4 O4'
_space_group_name_H-M_alt 'P 21 21 21'
_space_group_IT_number 19
_space_group_name_Hall 'P 2ac 2ab'
_cell_length_a 5.968
_cell_length_b 7.046
_cell_length_c 7.595
_cell_angle_alpha 90.00
_cell_angle_beta 90.00
_cell_angle_gamma 90.00
loop_
_atom_site_label
_atom_site_fract_x
_atom_site_fract_y
_atom_site_fract_z
Sr1 0.162 0.081 0.393
Pt1 0.214 0.581 0.421
S1 0.021 0.740 0.636
O1 0.031 0.894 0.120
# Spin magnetization in μB/f.u.: 0.00
# Energy above the lowest structure with this stoichiometry in eV per atom: 0.000
# E_tot in eV/atom: -5.5269

***

(8)
# ZnPtSO, relaxed, DFT GGA-PBE
data_ZnPtSO
_chemical_formula_sum 'Zn2 Pt2 S2 O2'
_space_group_name_H-M_alt 'P 4/n m m'
_space_group_IT_number 129
_cell_length_a 3.989
_cell_length_b 3.989
_cell_length_c 8.179
_cell_angle_alpha 90.00
_cell_angle_beta 90.00
_cell_angle_gamma 90.00
loop_
_space_group_symop_operation_xyz
'x,y,z'
'-x,-y,-z'
'-y+1/2,x,z'
'y+1/2,-x,-z'
'-x+1/2,-y+1/2,z'
'x+1/2,y+1/2,-z'
'y,-x+1/2,z'
'-y,x+1/2,-z'
'x+1/2,-y,-z'
'-x+1/2,y,z'
'-y,-x,-z'
'y,x,z'
'-x,y+1/2,-z'
'x,-y+1/2,z'
'y+1/2,x+1/2,-z'
'-y+1/2,-x+1/2,z'
loop_
_atom_site_label
_atom_site_fract_x
_atom_site_fract_y
_atom_site_fract_z
Zn1 0.250 0.250 0.120
Pt1 0.250 0.250 0.430
S1 0.250 0.250 0.842
O1 0.250 0.750 0.500
# Spin magnetization in μB/f.u.: 0.00
# Energy above the lowest structure with this stoichiometry in eV per atom: 0.523
# E_tot in eV/atom: -4.1465

***

(9)
# ZnPtSO, relaxed, DFT GGA-PBE
data_ZnPtSO
_chemical_formula_sum 'Zn4 Pt4 S4 O4'
_space_group_name_H-M_alt 'P 21 21 21'
_space_group_IT_number 19
_space_group_name_Hall 'P 2ac 2ab'
_cell_length_a 4.572
_cell_length_b 7.192
_cell_length_c 7.908
_cell_angle_alpha 90.00
_cell_angle_beta 90.00
_cell_angle_gamma 90.00
loop_
_atom_site_label
_atom_site_fract_x
_atom_site_fract_y
_atom_site_fract_z
Zn1 0.075 0.112 0.451
Pt1 0.039 0.761 0.616
S1 0.037 0.812 0.326
O1 0.041 0.788 0.877
# Spin magnetization in μB/f.u.: 0.00
# Energy above the lowest structure with this stoichiometry in eV per atom: 0.067
# E_tot in eV/atom: -4.6026

***

(10)
# ZnPtSO, relaxed, DFT GGA-PBE
data_ZnPtSO
_chemical_formula_sum 'Zn4 Pt4 S4 O4'
_space_group_name_H-M_alt 'P c a 21'
_space_group_IT_number 29
_space_group_name_Hall 'P 2c -2ac'
_cell_length_a 6.495
_cell_length_b 7.461
_cell_length_c 5.546
_cell_angle_alpha 90.00
_cell_angle_beta 90.00
_cell_angle_gamma 90.00
loop_
_atom_site_label
_atom_site_fract_x
_atom_site_fract_y
_atom_site_fract_z
Zn1 0.108 0.143 0.000
Pt1 0.205 0.665 0.929
S1 0.038 0.141 0.586
O1 0.035 0.646 0.631
# Spin magnetization in μB/f.u.: 0.00
# Energy above the lowest structure with this stoichiometry in eV per atom: 0.238
# E_tot in eV/atom: -4.4309

***

(11)
# ZnPtSO, relaxed, DFT GGA-PBE
data_ZnPtSO
_chemical_formula_sum 'Zn2 Pt2 S2 O2'
_space_group_name_H-M_alt 'P 4/n m m'
_space_group_IT_number 129
_cell_length_a 3.527
_cell_length_b 3.527
_cell_length_c 10.369
_cell_angle_alpha 90.00
_cell_angle_beta 90.00
_cell_angle_gamma 90.00
loop_
_space_group_symop_operation_xyz
'x,y,z'
'-x,-y,-z'
'-y+1/2,x,z'
'y+1/2,-x,-z'
'-x+1/2,-y+1/2,z'
'x+1/2,y+1/2,-z'
'y,-x+1/2,z'
'-y,x+1/2,-z'
'x+1/2,-y,-z'
'-x+1/2,y,z'
'-y,-x,-z'
'y,x,z'
'-x,y+1/2,-z'
'x,-y+1/2,z'
'y+1/2,x+1/2,-z'
'-y+1/2,-x+1/2,z'
loop_
_atom_site_label
_atom_site_fract_x
_atom_site_fract_y
_atom_site_fract_z
Zn1 0.250 0.750 0.000
Pt1 0.250 0.250 0.388
S1 0.250 0.250 0.849
O1 0.250 0.250 0.583
# Spin magnetization in μB/f.u.: 0.02
# Energy above the lowest structure with this stoichiometry in eV per atom: 0.938
# E_tot in eV/atom: -3.7312

***

(12)
# ZnPtSO, relaxed, DFT GGA-PBE
data_ZnPtSO
_chemical_formula_sum 'Zn2 Pt2 S2 O2'
_space_group_name_H-M_alt 'P 4/n m m'
_space_group_IT_number 129
_cell_length_a 3.884
_cell_length_b 3.884
_cell_length_c 7.990
_cell_angle_alpha 90.00
_cell_angle_beta 90.00
_cell_angle_gamma 90.00
loop_
_space_group_symop_operation_xyz
'x,y,z'
'-x,-y,-z'
'-y+1/2,x,z'
'y+1/2,-x,-z'
'-x+1/2,-y+1/2,z'
'x+1/2,y+1/2,-z'
'y,-x+1/2,z'
'-y,x+1/2,-z'
'x+1/2,-y,-z'
'-x+1/2,y,z'
'-y,-x,-z'
'y,x,z'
'-x,y+1/2,-z'
'x,-y+1/2,z'
'y+1/2,x+1/2,-z'
'-y+1/2,-x+1/2,z'
loop_
_atom_site_label
_atom_site_fract_x
_atom_site_fract_y
_atom_site_fract_z
Zn1 0.250 0.250 0.221
Pt1 0.250 0.750 0.000
S1 0.250 0.250 0.659
O1 0.250 0.250 0.467
# Spin magnetization in μB/f.u.: 0.00
# Energy above the lowest structure with this stoichiometry in eV per atom: 0.371
# E_tot in eV/atom: -4.2978

***

Question: What is the spin magnetization in the first record?
Answer: 0.00 μB/f.u.